Entry 1:
The following is a DFT calculation (GGA-PBE) of Tm6MgAl5 after structural relaxation.

The calculation puts the mass density at 7.10 g cm⁻³. The calculation puts the volume at 274.2 Å³/cell. The energy of formation from the pure elements comes out at -4.26 eV/f.u. The calculation puts the total energy at -51.392 eV/cell.

Cell: 8.0427 8.0427 7.0804 Å, 90.00 90.00 143.22°
Last column: nearest neighbours and their distance in Å.
Fractional coordinates of all 12 atoms:
Tm  0.0000  0.0000  0.2430  6 Al 3.05-3.07, 2 Mg 3.12
Tm  0.0000  0.0000  0.7570  6 Al 3.05-3.07, 2 Mg 3.12
Tm  0.3302  0.6698  0.2489  7 Al 3.07-3.14, 1 Mg 3.14
Tm  0.3302  0.6698  0.7511  7 Al 3.07-3.14, 1 Mg 3.14
Tm  0.6698  0.3302  0.2489  7 Al 3.07-3.14, 1 Mg 3.14
Tm  0.6698  0.3302  0.7511  7 Al 3.07-3.14, 1 Mg 3.14
Mg  0.5000  0.5000  0.5000  8 Tm 3.12-3.14
Al  0.1606  0.8394  0.5000  8 Tm 3.05-3.14
Al  0.1659  0.8341  0.0000  8 Tm 3.06-3.09
Al  0.5000  0.5000  0.0000  8 Tm 3.07-3.13
Al  0.8341  0.1659  0.0000  8 Tm 3.06-3.09
Al  0.8394  0.1606  0.5000  8 Tm 3.05-3.14


Entry 2:
The following is a DFT calculation (GGA-PBE) of Tm3MgAl2 after structural relaxation.

The calculation puts the mass density at 6.87 g cm⁻³. For the energy above the lowest structure with this stoichiometry, the calculation gives 0.07 eV/f.u. The calculation puts the volume at 141.5 Å³/cell. The energy of formation from the pure elements comes out at -1.75 eV/f.u. The calculation puts the total energy at -24.240 eV/cell.

Cell: 3.5846 3.5846 11.0136 Å, 90.00 90.00 90.00°
Last column: nearest neighbours and their distance in Å.
Fractional coordinates of all 6 atoms:
Tm  0.0000  0.0000  0.0000  8 Al 3.11
Tm  0.0000  0.0000  0.3202  4 Al 3.07, 4 Mg 3.22
Tm  0.0000  0.0000  0.6798  4 Al 3.07, 4 Mg 3.22
Mg  0.5000  0.5000  0.5000  8 Tm 3.22, 4 Mg 3.58
Al  0.5000  0.5000  0.1629  8 Tm 3.07-3.11
Al  0.5000  0.5000  0.8371  8 Tm 3.07-3.11


Entry 3:
The following is a DFT calculation (GGA-PBE) of Tm6Mg5Al after structural relaxation.

The calculation puts the mass density at 6.27 g cm⁻³. The calculation puts the volume at 307.5 Å³/cell. The energy of formation from the pure elements comes out at -1.50 eV/f.u. The calculation puts the total energy at -40.045 eV/cell.

Cell: 8.3074 8.3074 7.4378 Å, 90.00 90.00 143.19°
Last column: nearest neighbours and their distance in Å.
Fractional coordinates of all 12 atoms:
Tm  0.0000  0.0000  0.2409  2 Al 3.18, 6 Mg 3.23-3.28
Tm  0.0000  0.0000  0.7591  2 Al 3.18, 6 Mg 3.23-3.28
Tm  0.3377  0.6623  0.2445  1 Al 3.14, 7 Mg 3.19-3.28
Tm  0.3377  0.6623  0.7555  1 Al 3.14, 7 Mg 3.19-3.28
Tm  0.6623  0.3377  0.2445  1 Al 3.14, 7 Mg 3.19-3.28
Tm  0.6623  0.3377  0.7555  1 Al 3.14, 7 Mg 3.19-3.28
Mg  0.1682  0.8318  0.5000  8 Tm 3.24-3.28
Mg  0.1707  0.8293  0.0000  8 Tm 3.19-3.23
Mg  0.5000  0.5000  0.5000  8 Tm 3.19-3.25
Mg  0.8293  0.1707  0.0000  8 Tm 3.19-3.23
Mg  0.8318  0.1682  0.5000  8 Tm 3.24-3.28
Al  0.5000  0.5000  0.0000  8 Tm 3.14-3.18


Entry 4:
The following is a DFT calculation (GGA-PBE) of Tm2Mg2Al15 after structural relaxation.

The calculation puts the mass density at 3.56 g cm⁻³. The calculation puts the volume at 369.2 Å³/cell. The energy of formation from the pure elements comes out at -0.76 eV/f.u. The calculation puts the total energy at -69.031 eV/cell.

Cell: 7.2024 7.2024 7.2024 Å, 84.78 84.78 84.78°
Last column: nearest neighbours and their distance in Å.
Fractional coordinates of all 19 atoms:
Tm  0.1140  0.1140  0.1140  12 Al 2.89-3.17, 1 Tm 3.09
Tm  0.8860  0.8860  0.8860  12 Al 2.89-3.17, 1 Tm 3.09
Mg  0.3663  0.3663  0.3663  3 Al 3.10, 1 Tm 3.42
Mg  0.6337  0.6337  0.6337  3 Al 3.10, 1 Tm 3.42
Al  0.0000  0.0000  0.5000  8 Al 2.68-2.86, 2 Tm 2.89
Al  0.0000  0.2854  0.7146  8 Al 2.68-2.99
Al  0.0000  0.5000  0.0000  8 Al 2.68-2.86, 2 Tm 2.89
Al  0.0000  0.7146  0.2854  8 Al 2.68-2.99
Al  0.1492  0.6372  0.6372  8 Al 2.82-2.99, 1 Tm 3.06, 1 Mg 3.10
Al  0.2854  0.0000  0.7146  8 Al 2.68-2.99
Al  0.2854  0.7146  0.0000  8 Al 2.68-2.99
Al  0.3628  0.3628  0.8508  8 Al 2.82-2.99, 1 Tm 3.06, 1 Mg 3.10
Al  0.3628  0.8508  0.3628  8 Al 2.82-2.99, 1 Tm 3.06, 1 Mg 3.10
Al  0.5000  0.0000  0.0000  8 Al 2.68-2.86, 2 Tm 2.89
Al  0.6372  0.1492  0.6372  8 Al 2.82-2.99, 1 Tm 3.06, 1 Mg 3.10
Al  0.6372  0.6372  0.1492  8 Al 2.82-2.99, 1 Tm 3.06, 1 Mg 3.10
Al  0.7146  0.0000  0.2854  8 Al 2.68-2.99
Al  0.7146  0.2854  0.0000  8 Al 2.68-2.99
Al  0.8508  0.3628  0.3628  8 Al 2.82-2.99, 1 Tm 3.06, 1 Mg 3.10


Entry 5:
The following is a DFT calculation (GGA-PBE) of TmMgAl after structural relaxation.

The calculation puts the mass density at 5.03 g cm⁻³. The calculation puts the volume at 145.5 Å³/cell. The energy of formation from the pure elements comes out at -0.05 eV/f.u. The calculation puts the total energy at -19.727 eV/cell.

Cell: 7.6243 7.6243 7.6243 Å, 37.23 37.23 37.23°
Last column: nearest neighbours and their distance in Å.
Fractional coordinates of all 6 atoms:
Tm  0.2091  0.2091  0.2091  4 Al 3.06-3.08, 3 Tm 3.34, 3 Mg 3.35
Tm  0.7909  0.7909  0.7909  4 Al 3.06-3.08, 3 Tm 3.34, 3 Mg 3.35
Mg  0.3716  0.3716  0.3716  3 Al 2.87
Mg  0.6284  0.6284  0.6284  3 Al 2.87
Al  0.0653  0.0653  0.0653  1 Al 2.78, 3 Mg 2.87, 4 Tm 3.06-3.08
Al  0.9347  0.9347  0.9347  1 Al 2.78, 3 Mg 2.87, 4 Tm 3.06-3.08


Entry 6:
The following is a DFT calculation (GGA-PBE) of Tm3MgAl2 after structural relaxation.

The calculation puts the mass density at 6.93 g cm⁻³. For the energy above the lowest structure with this stoichiometry, the calculation gives 0.00 eV/f.u. The calculation puts the volume at 280.6 Å³/cell. The energy of formation from the pure elements comes out at -1.82 eV/f.u. The calculation puts the total energy at -48.628 eV/cell.

Cell: 5.0965 5.0965 12.4732 Å, 90.00 90.00 120.00°
Last column: nearest neighbours and their distance in Å.
Fractional coordinates of all 12 atoms:
Tm  0.0000  0.0000  0.2442  5 Al 3.05-3.19, 3 Mg 3.13
Tm  0.0000  0.0000  0.7558  5 Al 3.05-3.19, 3 Mg 3.13
Tm  0.3333  0.6667  0.4173  4 Al 3.05-3.12, 4 Mg 3.14-3.15
Tm  0.3333  0.6667  0.9218  7 Al 3.10-3.17, 1 Mg 3.14
Tm  0.6667  0.3333  0.0782  7 Al 3.10-3.17, 1 Mg 3.14
Tm  0.6667  0.3333  0.5827  4 Al 3.05-3.12, 4 Mg 3.14-3.15
Mg  0.3333  0.6667  0.6697  8 Tm 3.13-3.15
Mg  0.6667  0.3333  0.3303  8 Tm 3.13-3.15
Al  0.0000  0.0000  0.0000  8 Tm 3.05-3.10
Al  0.0000  0.0000  0.5000  8 Tm 3.12-3.19
Al  0.3333  0.6667  0.1731  8 Tm 3.05-3.17
Al  0.6667  0.3333  0.8269  8 Tm 3.05-3.17


Entry 7:
The following is a DFT calculation (GGA-PBE) of YTmMgAl after structural relaxation.

The calculation puts the mass density at 5.26 g cm⁻³. The calculation puts the volume at 97.7 Å³/cell. The energy of formation from the pure elements comes out at -1.11 eV/f.u. The calculation puts the total energy at -17.384 eV/cell.

Cell: 5.1691 5.1691 5.1691 Å, 60.00 60.00 60.00°
Last column: nearest neighbours and their distance in Å.
Fractional coordinates of all 4 atoms:
Y  0.0000  0.0000  0.0000  4 Mg 3.17, 4 Al 3.17
Tm  0.5000  0.5000  0.5000  4 Mg 3.17, 4 Al 3.17
Mg  0.7500  0.7500  0.7500  4 Tm 3.17, 4 Y 3.17
Al  0.2500  0.2500  0.2500  4 Tm 3.17, 4 Y 3.17


Entry 8:
The following is a DFT calculation (GGA-PBE) of TmMgAlZn after structural relaxation.

The calculation puts the mass density at 5.88 g cm⁻³. The calculation puts the volume at 80.6 Å³/cell. The energy of formation from the pure elements comes out at -1.06 eV/f.u. The calculation puts the total energy at -12.146 eV/cell.

Cell: 4.8493 4.8493 4.8493 Å, 60.00 60.00 60.00°
Last column: nearest neighbours and their distance in Å.
Fractional coordinates of all 4 atoms:
Tm  0.0000  0.0000  0.0000  4 Al 2.97, 4 Zn 2.97
Mg  0.5000  0.5000  0.5000  4 Al 2.97, 4 Zn 2.97
Al  0.7500  0.7500  0.7500  4 Mg 2.97, 4 Tm 2.97
Zn  0.2500  0.2500  0.2500  4 Mg 2.97, 4 Tm 2.97


Question: Among the records above, which one has the lowest mass density?
Answer: Tm2Mg2Al15